Entry 1:
An optimized crystal structure of V4Te5Mo, computed with PBE.

As for the formation energy from raw total energies: -1.75 eV/f.u. The density of states at the Fermi level comes out at 7.98 states/eV per cell. Its space group is C2/m. The value obtained for the total DFT energy (no corrections) is -6.4763 eV/atom.

a b c (Å): 3.4461 7.7435 8.8358
angles (deg): 105.80 101.25 90.00
Sites, in units of the cell vectors:
Mo  0.5000  0.0000  0.0000
V  0.9506  0.2069  0.9011
Te  0.8024  0.2605  0.6048
V  0.6677  0.9788  0.3355
Te  0.1976  0.7395  0.3952
V  0.3323  0.0212  0.6645
Te  0.5000  0.5000  0.0000
Te  0.1156  0.2054  0.2313
Te  0.8844  0.7946  0.7687
V  0.0494  0.7931  0.0989

***

Entry 2:
An optimized crystal structure of Li2Al, computed with PBE.

The density of states at the Fermi level comes out at 8.07 states/eV per cell. Its space group is Pa-3. The value obtained for the total DFT energy (no corrections) is -2.1695 eV/atom. For the formation energy, the calculation gives 0.35 eV per atom.

a b c (Å): 6.4218 6.4218 6.4218
angles (deg): 90.00 90.00 90.00
Sites, in units of the cell vectors:
Al  0.5000  0.5000  0.0000
Li  0.3671  0.3671  0.6329
Al  0.0000  0.0000  0.0000
Li  0.3671  0.1329  0.1329
Al  0.5000  0.0000  0.5000
Li  0.1329  0.6329  0.1329
Li  0.8671  0.3671  0.8671
Al  0.0000  0.5000  0.5000
Li  0.1329  0.8671  0.6329
Li  0.6329  0.6329  0.3671
Li  0.8671  0.1329  0.3671
Li  0.6329  0.8671  0.8671

***

Entry 3:
An optimized crystal structure of Ce2InCu, computed with PBE.

The density of states at the Fermi level comes out at 19.31 states/eV per cell. Its space group is P-3m1. The value obtained for the total DFT energy (no corrections) is -4.7173 eV/atom. For the formation energy, the calculation gives -0.04 eV per atom.

a b c (Å): 5.1349 5.1349 8.7702
angles (deg): 90.00 90.00 60.00
Each line ends with the local moment (μB).
Sites, in units of the cell vectors:
Ce  0.3333  0.3333  0.0137  0.87
Ce  0.6667  0.6667  0.9863  0.87
In  0.0000  0.0000  0.1872  -0.01
Ce  0.3333  0.3333  0.3517  0.74
Cu  0.6667  0.6667  0.3143  0.00
In  0.0000  0.0000  0.8128  -0.01
Ce  0.6667  0.6667  0.6483  0.74
Cu  0.3333  0.3333  0.6857  0.00

***

Entry 4:
An optimized crystal structure of AlIn2B, computed with PBE.

The density of states at the Fermi level comes out at 2.44 states/eV per cell. As for the relative energy among the computed polymorphs: 0.000 eV/atom. Its space group is I-42d. The value obtained for the total DFT energy (no corrections) is -3.2310 eV/atom. For the formation energy, the calculation gives 0.74 eV per atom.

a b c (Å): 6.3587 6.3587 6.5623
angles (deg): 61.02 61.02 90.00
Sites, in units of the cell vectors:
Al  0.7500  0.2500  0.5000
In  0.3750  0.4572  0.7500
B  0.2500  0.7500  0.5000
In  0.5428  0.1250  0.2500
B  0.5000  0.5000  0.0000
In  0.2072  0.6250  0.2500
Al  0.0000  0.0000  0.0000
In  0.8750  0.7928  0.7500

***

Entry 5:
An optimized crystal structure of AcPr2Nd2Tm2, computed with PBE.

The density of states at the Fermi level comes out at 11.08 states/eV per cell. Its space group is C2/m. The value obtained for the total DFT energy (no corrections) is -4.5557 eV/atom. For the formation energy, the calculation gives 0.04 eV per atom.

a b c (Å): 5.2222 6.3848 8.2023
angles (deg): 97.50 90.00 114.14
Sites, in units of the cell vectors:
Pr  0.7144  0.4288  0.1530
Ac  0.0000  0.0000  0.0000
Tm  0.8575  0.7150  0.5657
Tm  0.1425  0.2850  0.4343
Nd  0.4260  0.8519  0.2938
Pr  0.2856  0.5712  0.8470
Nd  0.5740  0.1481  0.7062

***

Entry 6:
An optimized crystal structure of Ni3Br, computed with PBE.

As for the formation energy from raw total energies: 2.67 eV/f.u. The density of states at the Fermi level comes out at 5.91 states/eV per cell. As for the relative energy among the computed polymorphs: 0.366 eV/atom. Its space group is Fm-3m. The value obtained for the total DFT energy (no corrections) is -4.0877 eV/atom.

a b c (Å): 4.1976 4.1976 4.1976
angles (deg): 60.00 60.00 60.00
Each line ends with the local moment (μB).
Sites, in units of the cell vectors:
Br  0.0000  0.0000  0.0000  0.02
Ni  0.5000  0.5000  0.5000  0.28
Ni  0.7500  0.7500  0.7500  0.16
Ni  0.2500  0.2500  0.2500  0.16

***

Entry 7:
An optimized crystal structure of Cd2HgBr, computed with PBE.

As for the formation energy from raw total energies: -0.12 eV/f.u. The density of states at the Fermi level comes out at 2.66 states/eV per cell. As for the relative energy among the computed polymorphs: 0.175 eV/atom. Its space group is I4/mmm. The value obtained for the total DFT energy (no corrections) is -0.9822 eV/atom.

a b c (Å): 5.6917 5.6917 5.6917
angles (deg): 129.13 129.13 74.81
Sites, in units of the cell vectors:
Cd  0.0000  0.0000  0.0000
Br  0.7500  0.2500  0.5000
Cd  0.5000  0.5000  0.0000
Hg  0.2500  0.7500  0.5000

***

Entry 8:
An optimized crystal structure of CuTcSb2, computed with PBE.

As for the formation energy from raw total energies: 2.84 eV/f.u. The density of states at the Fermi level comes out at 4.67 states/eV per cell. As for the relative energy among the computed polymorphs: 0.602 eV/atom. Its space group is F-43m. The value obtained for the total DFT energy (no corrections) is -4.9669 eV/atom.

a b c (Å): 4.7734 4.7734 4.7734
angles (deg): 60.00 60.00 60.00
Each line ends with the local moment (μB).
Sites, in units of the cell vectors:
Tc  0.2500  0.2500  0.2500  0.43
Sb  0.7500  0.7500  0.7500  0.00
Sb  0.0000  0.0000  0.0000  -0.01
Cu  0.5000  0.5000  0.5000  0.03

***

Which of these has the highest total DFT energy (no corrections)?
Cd2HgBr